The following is a DFT calculation (GGA-PBE) of a geometry-optimized Sc2CdHg3 structure.

The structure in CIF format:
```
data_Sc2CdHg3
_chemical_formula_sum 'Sc4 Cd2 Hg6'
_cell_length_a 4.949
_cell_length_b 8.674
_cell_length_c 6.092
_cell_angle_alpha 90.00
_cell_angle_beta 90.00
_cell_angle_gamma 90.00
_symmetry_space_group_name_H-M 'P m c 21'
_symmetry_Int_Tables_number 26
loop_
_symmetry_equiv_pos_as_xyz
'x,y,z'
'-x,-y,z+1/2'
'-x,y,z'
'x,-y,z+1/2'
loop_
_atom_site_label
_atom_site_fract_x
_atom_site_fract_y
_atom_site_fract_z
_atom_site_occupancy
Sc1 0.000 0.163 0.000 1
Sc2 0.500 0.328 0.556 1
Cd1 0.000 0.498 0.284 1
Hg1 0.000 0.171 0.501 1
Hg2 0.500 0.001 0.273 1
Hg3 0.500 0.339 0.051 1
```

**Density of states at the Fermi level**: 0.597 states/eV per atom
**Uncorrected energy**: -2.721 eV/atom
**Formation enthalpy at 0 K**: -1.84 eV per formula unit
**Calculated volume**: 130.8 Å³/f.u.